Ti4Fe2N after structural relaxation, computed with PBE.

Computed properties:
**Crystal system**: tetragonal
**Mass density**: 5.42 Mg/m³
**Symmetry**: I4/mmm, No. 139
**Size of the total moment**: 1.2 Bohr magnetons per cell
**Uncorrected energy**: -59.24 eV/cell

Unit cell a=4.030 b=4.030 c=6.628 alpha=72.30 beta=72.30 gamma=90.00
Fractional coordinates of all 7 atoms:
1 Ti 0.182 0.182 0.635
2 Ti 0.500 0.000 0.000
3 Ti 0.818 0.818 0.365
4 N 0.000 0.000 0.000
5 Fe 0.632 0.632 0.737
6 Ti 0.000 0.500 0.000
7 Fe 0.368 0.368 0.263